No. 1
A plane-wave DFT calculation with PBE was carried out for a relaxed K2AcNpS6 crystal.

a = 7.4054 Å, b = 7.5927 Å, c = 10.6018 Å
α = 90.00°, β = 90.46°, γ = 90.00°
Fractional positions:
S 0.5786 0.0209 0.2716
K 0.5135 0.5491 0.7503
K 0.4865 0.4509 0.2497
S 0.6859 0.2696 0.5443
K 0.0135 0.9509 0.2503
Ac 0.0000 0.5000 0.5000
S 0.9214 0.5209 0.2284
S 0.7708 0.8110 0.5393
Np 0.0000 0.5000 0.0000
S 0.4214 0.9791 0.7284
Ac 0.5000 0.0000 0.0000
Np 0.5000 0.0000 0.5000
S 0.1859 0.2304 0.0443
S 0.0786 0.4791 0.7716
S 0.7292 0.3110 0.9607
K 0.9865 0.0491 0.7497
S 0.8141 0.7696 0.9557
S 0.2292 0.1890 0.4607
S 0.3141 0.7304 0.4557
S 0.2708 0.6890 0.0393

Summary:
Density of states at the Fermi level: 10.09 states/eV per cell
Volume: 596.1 Å³/cell
Formation energy (no corrections): -1.240 eV/atom



No. 2
A plane-wave DFT calculation with PBE was carried out for a relaxed KAc2NpSe5 crystal.

a = 5.3316 Å, b = 7.7321 Å, c = 8.9797 Å
α = 115.50°, β = 107.27°, γ = 90.00°
Fractional positions:
Se 0.0000 0.0000 0.0000
Ac 0.2050 0.2050 0.4099
Np 0.5000 0.0000 0.0000
Se 0.3524 0.6166 0.7049
Se 0.3524 0.0883 0.7049
Se 0.6476 0.3834 0.2951
Se 0.6476 0.9117 0.2951
K 0.0000 0.5000 0.0000
Ac 0.7950 0.7950 0.5901

Summary:
Density of states at the Fermi level: 11.49 states/eV per cell
Volume: 315.5 Å³/cell
Formation energy (no corrections): -1.590 eV/atom



No. 3
A plane-wave DFT calculation with PBE was carried out for a relaxed K2AcNpTe4 crystal.

a = 4.7140 Å, b = 8.2048 Å, c = 8.6631 Å
α = 108.34°, β = 90.00°, γ = 90.00°
Fractional positions:
K 0.0000 0.5000 0.5000
Np 0.0000 0.0000 0.0000
Te 0.0000 0.2477 0.7792
Te 0.5000 0.7756 0.7886
Te 0.0000 0.7523 0.2208
Ac 0.5000 0.5000 0.0000
K 0.5000 0.0000 0.5000
Te 0.5000 0.2244 0.2114

Summary:
Density of states at the Fermi level: 6.37 states/eV per cell
Volume: 318.0 Å³/cell
Formation energy (no corrections): -1.178 eV/atom



No. 4
A plane-wave DFT calculation with PBE was carried out for a relaxed K3Ac3NpTe8 crystal.

a = 9.5471 Å, b = 9.5467 Å, c = 10.0044 Å
α = 118.50°, β = 89.99°, γ = 120.00°
Fractional positions:
Ac 0.5000 0.5000 0.5000
Ac 0.0000 0.5000 0.5000
K 0.0000 0.0000 0.0000
Te 0.2415 0.0164 0.2913
Te 0.7750 0.5499 0.2913
Te 0.7750 0.0164 0.2913
Ac 0.5000 0.0000 0.5000
Te 0.2586 0.5171 0.2756
Te 0.7585 0.9836 0.7087
Te 0.2250 0.9836 0.7087
Te 0.7414 0.4829 0.7244
Te 0.2250 0.4501 0.7087
Np 0.0000 0.0000 0.5000
K 0.0000 0.5000 0.0000
K 0.5000 0.5000 0.0000

Summary:
Density of states at the Fermi level: 3.56 states/eV per cell
Volume: 659.0 Å³/cell
Formation energy (no corrections): -1.292 eV/atom



No. 5
A plane-wave DFT calculation with PBE was carried out for a relaxed K4AcO4 crystal.

a = 3.9105 Å, b = 6.8511 Å, c = 8.3527 Å
α = 75.26°, β = 76.46°, γ = 73.42°
Fractional positions:
O 0.3108 0.1079 0.2706
O 0.0730 0.7529 0.1011
K 0.1252 0.1475 0.6021
K 0.2932 0.5903 0.8233
K 0.7068 0.4097 0.1767
Ac 0.5000 0.0000 0.0000
K 0.8748 0.8525 0.3979
O 0.6892 0.8921 0.7294
O 0.9270 0.2471 0.8989

Summary:
Density of states at the Fermi level: 6.03 states/eV per cell
Volume: 204.2 Å³/cell
Formation energy (no corrections): -1.670 eV/atom



No. 6
A plane-wave DFT calculation with PBE was carried out for a relaxed KAcO2 crystal.

a = 3.8678 Å, b = 3.8674 Å, c = 6.7356 Å
α = 106.65°, β = 90.00°, γ = 120.00°
Fractional positions:
O 0.2315 0.4631 0.1951
O 0.7685 0.5369 0.8049
K 0.0000 0.0000 0.5000
Ac 0.5000 0.0000 0.0000

Summary:
Density of states at the Fermi level: 0.00 states/eV per cell
E above lowest polymorph: 0.000 eV per atom
Volume: 82.3 Å³/cell
Formation energy (no corrections): -2.562 eV/atom



No. 7
A plane-wave DFT calculation with PBE was carried out for a relaxed KAcO2 crystal.

a = 3.2638 Å, b = 3.2638 Å, c = 6.7602 Å
α = 90.00°, β = 90.00°, γ = 90.00°
Fractional positions:
Ac 0.5000 0.5000 0.0000
O 0.0000 0.0000 0.7970
O 0.0000 0.0000 0.2030
K 0.5000 0.5000 0.5000

Summary:
E above lowest polymorph: 0.407 eV per atom
Volume: 72.0 Å³/cell
Formation energy (no corrections): -2.156 eV/atom



No. 8
A plane-wave DFT calculation with PBE was carried out for a relaxed KAcO2 crystal.

a = 3.8377 Å, b = 3.8377 Å, c = 6.9702 Å
α = 74.02°, β = 74.02°, γ = 60.00°
Fractional positions:
O 0.0662 0.0662 0.8013
O 0.2721 0.2721 0.1837
K 0.4944 0.4944 0.5167
Ac 0.6672 0.6672 0.9983

Summary:
Density of states at the Fermi level: 0.00 states/eV per cell
E above lowest polymorph: 0.054 eV per atom
Volume: 84.3 Å³/cell
Formation energy (no corrections): -2.508 eV/atom



> Which of these has the lowest volume?

number 7



> formation energy (no corrections) of number 1 (K2AcNpS6)?

-1.240 eV/atom